A PBEsol-optimized structure of K5In3F14, computed with meta-GGA SCAN.

Cell lengths 7.938, 7.938, 11.800 Å; angles 90.00, 90.00, 90.00 degrees
Space group P4/mnc (No. 128)
Unique sites:
K 0.000 0.000 0.000
K 0.216 0.284 0.250
In 0.000 0.000 0.500
In 0.000 0.500 0.000
F 0.000 0.000 0.326
F 0.045 0.683 0.121
F 0.093 0.248 0.500

For the formation energy from raw total energies, the calculation gives -6142 kJ/mol of formula units. The value obtained for the density of states at the Fermi level is 0.0000 states/eV/atom. The volume is 743.5 Å³ per cell.

A PBEsol-optimized structure of KIn2F7, computed with meta-GGA SCAN.

Cell lengths 6.661, 8.181, 10.804 Å; angles 90.00, 90.00, 90.00 degrees
Space group P2_1/m (No. 11)
Unique sites:
K 0.249 0.250 0.250
K 0.250 0.750 0.250
In 0.250 0.004 0.558
In 0.250 0.004 0.942
F 0.061 0.522 0.107
F 0.061 0.523 0.394
F 0.250 0.053 0.750
F 0.250 0.250 0.505
F 0.250 0.250 0.994
F 0.250 0.750 0.588
F 0.250 0.750 0.912
F 0.439 0.522 0.107
F 0.439 0.523 0.394

For the formation energy from raw total energies, the calculation gives -2708 kJ/mol of formula units. The value obtained for the density of states at the Fermi level is 0.0000 states/eV/atom. The volume is 588.8 Å³ per cell.

A PBEsol-optimized structure of KInF3, computed with meta-GGA SCAN.

Cell lengths 9.143, 9.143, 9.143 Å; angles 90.00, 90.00, 90.00 degrees
Space group Fm-3m (No. 225)
Unique sites:
K 0.250 0.250 0.250
In 0.000 0.000 0.000
In 0.000 0.000 0.500
F 0.000 0.000 0.228

For the formation energy from raw total energies, the calculation gives -1242 kJ/mol of formula units. The value obtained for the density of states at the Fermi level is 0.0000 states/eV/atom. The volume is 764.3 Å³ per cell.

A PBEsol-optimized structure of K2MnInF, computed with meta-GGA SCAN.

Cell lengths 6.290, 6.290, 4.985 Å; angles 90.00, 90.00, 90.00 degrees
Space group P4/mmm (No. 123)
Unique sites:
K 0.000 0.500 0.000
Mn 0.000 0.000 0.000
In 0.000 0.000 0.500
F 0.500 0.500 0.500

For the formation energy from raw total energies, the calculation gives -117 kJ/mol of formula units. The value obtained for the density of states at the Fermi level is 0.5006 states/eV/atom. The volume is 197.3 Å³ per cell.